YTlPBr2 | PBE | optimized geometry

Computed properties:
E_form (uncorrected)	-0.15	eV per atom
space-group type	P4/mmm
spin magnetization	0.00	μB per formula unit
volume	31.876	A^3/atom
Fermi-level density of states	2.93	states/eV per cell
uncorrected energy	-3.666	eV per atom

```
YTlPBr2
1.0
5.445 0.000 0.000
0.000 5.445 0.000
0.000 0.000 5.375
Y Tl P Br
1 1 1 2
Direct
0.000 0.000 0.000
0.500 0.500 0.000
0.000 0.000 0.500
0.000 0.500 0.500
0.500 0.000 0.500
```

---

KZn2Cu | PBE | optimized geometry

Computed properties:
space-group type	Immm
spin magnetization	0.00	μB per formula unit
volume	20.983	A^3/atom
Fermi-level density of states	2.06	states/eV per cell
uncorrected energy	-1.691	eV per atom

```
KZn2Cu
1.0
2.814 0.000 0.000
0.000 5.569 0.000
0.000 0.000 10.711
K Zn Cu
2 4 2
Direct
0.000 0.000 0.000
0.500 0.500 0.500
0.000 0.500 0.196
0.000 0.500 0.804
0.500 0.000 0.304
0.500 0.000 0.696
0.000 0.000 0.500
0.500 0.500 0.000
```

---

CsPPt | PBE | optimized geometry

Computed properties:
space-group type	P2_1/c
spin magnetization	0.00	μB per formula unit
volume	29.586	A^3/atom
Fermi-level density of states	5.73	states/eV per cell
uncorrected energy	-4.715	eV per atom

```
CsPPt
1.0
7.510 0.000 0.000
0.000 6.912 0.000
-3.291 0.000 6.839
Cs P Pt
4 4 4
Direct
0.154 0.117 0.359
0.154 0.383 0.859
0.846 0.617 0.141
0.846 0.883 0.641
0.350 0.648 0.593
0.350 0.852 0.093
0.650 0.148 0.907
0.650 0.352 0.407
0.447 0.625 0.338
0.447 0.875 0.838
0.553 0.125 0.162
0.553 0.375 0.662
```

---

Which formula does entry 1 have?
YTlPBr2

---

Look up the volume of the second one.
20.983 A^3/atom

---

Look up the spin magnetization of the first one.
0.00 μB per formula unit